Here is crystalline Ba8TlPtAu2 at its relaxed geometry from Alexandria via LeMat-Bulk. Energies are from PBE-GGA.

The structure in POSCAR format:
```
Ba8TlPtAu2
1.0
7.6993 0.0000 0.0000
0.0000 9.9468 0.0000
-0.1131 0.0000 7.9474
Ba Tl Pt Au
8 1 1 2
Direct
0.2228 0.0000 0.3395
0.2365 0.5000 0.3172
0.2744 0.2740 0.8269
0.2744 0.7260 0.8269
0.7256 0.2740 0.1731
0.7256 0.7260 0.1731
0.7635 0.5000 0.6828
0.7772 0.0000 0.6605
0.5000 0.0000 0.0000
0.5000 0.5000 0.0000
0.0000 0.2548 0.5000
0.0000 0.7452 0.5000
```

Values from the calculation:
The value obtained for the formation energy is -0.461 eV per atom. Its symmetry is No. 10.

Here is crystalline Al2GaH at its relaxed geometry from Alexandria via LeMat-Bulk. Energies are from PBE-GGA.

The structure in POSCAR format:
```
Al2GaH
1.0
6.0812 0.0000 0.0000
0.0000 6.0812 0.0000
0.0000 0.0000 6.0812
Al Ga H
8 4 4
Direct
0.2500 0.2500 0.2500
0.2500 0.2500 0.7500
0.2500 0.7500 0.2500
0.2500 0.7500 0.7500
0.7500 0.2500 0.2500
0.7500 0.2500 0.7500
0.7500 0.7500 0.2500
0.7500 0.7500 0.7500
0.0000 0.0000 0.0000
0.0000 0.5000 0.5000
0.5000 0.0000 0.5000
0.5000 0.5000 0.0000
0.0000 0.0000 0.5000
0.0000 0.5000 0.0000
0.5000 0.0000 0.0000
0.5000 0.5000 0.5000
```

Values from the calculation:
Its symmetry is No. 225.

Here is crystalline ScHgP2 at its relaxed geometry from Alexandria via LeMat-Bulk. Energies are from PBE-GGA.

The structure in POSCAR format:
```
ScHgP2
1.0
6.6737 0.0000 0.0000
0.0000 6.6737 0.0000
0.0000 0.0000 8.2853
Sc Hg P
4 4 8
Direct
0.0000 0.0000 0.0000
0.0000 0.5000 0.2500
0.5000 0.0000 0.7500
0.5000 0.5000 0.5000
0.0000 0.0000 0.5000
0.0000 0.5000 0.7500
0.5000 0.0000 0.2500
0.5000 0.5000 0.0000
0.2450 0.2500 0.6250
0.2500 0.7450 0.8750
0.2500 0.7550 0.3750
0.2550 0.2500 0.1250
0.7450 0.7500 0.1250
0.7500 0.2450 0.3750
0.7500 0.2550 0.8750
0.7550 0.7500 0.6250
```

Values from the calculation:
The value obtained for the formation energy is -0.158 eV per atom. Its symmetry is No. 122.

Here is crystalline Zr3CdC at its relaxed geometry from Alexandria via LeMat-Bulk. Energies are from PBE-GGA.

The structure in POSCAR format:
```
Zr3CdC
1.0
4.7682 0.0000 0.0000
-2.3841 4.1294 0.0000
0.0000 0.0000 9.2983
Zr Cd C
6 2 2
Direct
0.0000 0.0000 0.2500
0.0000 0.0000 0.7500
0.3333 0.6667 0.0732
0.3333 0.6667 0.4268
0.6667 0.3333 0.5732
0.6667 0.3333 0.9268
0.3333 0.6667 0.7500
0.6667 0.3333 0.2500
0.0000 0.0000 0.0000
0.0000 0.0000 0.5000
```

Values from the calculation:
The value obtained for the formation energy is 0.116 eV per atom. Its symmetry is No. 194.

Here is crystalline NaCu2Sb2 at its relaxed geometry from Alexandria via LeMat-Bulk. Energies are from PBE-GGA.

The structure in POSCAR format:
```
NaCu2Sb2
1.0
7.8357 0.0000 0.0000
0.0000 7.8357 0.0000
0.0000 0.0000 3.3125
Na Cu Sb
2 4 4
Direct
0.0000 0.0000 0.0000
0.5000 0.5000 0.0000
0.1166 0.3834 0.0000
0.3834 0.8834 0.0000
0.6166 0.1166 0.0000
0.8834 0.6166 0.0000
0.1744 0.6744 0.5000
0.3256 0.1744 0.5000
0.6744 0.8256 0.5000
0.8256 0.3256 0.5000
```

Values from the calculation:
The raw formation energy comes out at 0.016 eV/atom. Its symmetry is No. 127.

Here is crystalline LaNd3Os at its relaxed geometry from Alexandria via LeMat-Bulk. Energies are from PBE-GGA.

The structure in POSCAR format:
```
LaNd3Os
1.0
5.6384 0.0000 0.0000
0.0000 5.6384 0.0000
0.0000 0.0000 5.6384
La Nd Os
1 3 1
Direct
0.0000 0.0000 0.0000
0.0000 0.5000 0.5000
0.5000 0.0000 0.5000
0.5000 0.5000 0.0000
0.5000 0.5000 0.5000
```

Values from the calculation:
The value obtained for the formation energy is 0.112 eV per atom. Its symmetry is No. 221.

Here is crystalline TlTc5 at its relaxed geometry from Alexandria via LeMat-Bulk. Energies are from PBE-GGA.

The structure in POSCAR format:
```
TlTc5
1.0
10.2664 0.0000 0.0000
0.0000 2.8795 0.0000
-1.6997 0.0000 6.3754
Tl Tc
2 10
Direct
0.0000 0.0000 0.0000
0.5000 0.5000 0.0000
0.1331 0.5000 0.7291
0.1772 0.5000 0.3480
0.2813 0.0000 0.0846
0.3321 0.0000 0.6527
0.4519 0.5000 0.4127
0.6331 0.0000 0.7291
0.6772 0.0000 0.3480
0.7813 0.5000 0.0846
0.8321 0.5000 0.6527
0.9519 0.0000 0.4127
```

Values from the calculation:
The value obtained for the formation energy is 0.316 eV per atom. Its symmetry is No. 8.

Here is crystalline KSnGe2Br8 at its relaxed geometry from Alexandria via LeMat-Bulk. Energies are from PBE-GGA.

The structure in POSCAR format:
```
KSnGe2Br8
1.0
7.0470 0.0000 0.0000
0.7397 7.0849 0.0000
0.7076 0.6371 9.0796
K Sn Ge Br
1 1 2 8
Direct
0.0000 0.0000 0.0000
0.0000 0.0000 0.5000
0.4468 0.4502 0.2499
0.5532 0.5498 0.7501
0.2193 0.7951 0.7151
0.2203 0.7948 0.2840
0.2679 0.2877 0.4723
0.3064 0.3259 0.0407
0.6936 0.6741 0.9593
0.7321 0.7123 0.5277
0.7797 0.2052 0.7160
0.7807 0.2049 0.2849
```

Values from the calculation:
The raw formation energy comes out at -0.759 eV/atom. Its symmetry is No. 2.

Here is crystalline Pr7Dy12Y at its relaxed geometry from Alexandria via LeMat-Bulk. Energies are from PBE-GGA.

The structure in POSCAR format:
```
Pr7Dy12Y
1.0
-5.6832 5.6832 5.6832
5.6832 -5.6832 5.6832
5.6832 5.6832 -5.6832
Pr Dy Y
7 12 1
Direct
0.0000 0.0000 0.5000
0.0000 0.5000 0.0000
0.0000 0.5000 0.5000
0.5000 0.0000 0.0000
0.5000 0.0000 0.5000
0.5000 0.5000 0.0000
0.5000 0.5000 0.5000
0.0007 0.7531 0.2475
0.2469 0.2475 0.4944
0.2469 0.7525 0.9993
0.2475 0.0007 0.7531
0.2475 0.4944 0.2469
0.4944 0.2469 0.2475
0.5056 0.7531 0.7525
0.7525 0.5056 0.7531
0.7525 0.9993 0.2469
0.7531 0.2475 0.0007
0.7531 0.7525 0.5056
0.9993 0.2469 0.7525
0.0000 0.0000 0.0000
```

Values from the calculation:
The value obtained for the formation energy is 0.626 eV per atom. Its symmetry is No. 204.

Here is crystalline YThBiSe at its relaxed geometry from Alexandria via LeMat-Bulk. Energies are from PBE-GGA.

The structure in POSCAR format:
```
YThBiSe
1.0
4.2374 0.0000 0.0000
-2.1187 3.6697 0.0000
0.0000 0.0000 22.4549
Y Th Bi Se
3 3 3 3
Direct
0.0000 0.0000 0.0000
0.3333 0.6667 0.6667
0.6667 0.3333 0.3333
0.0000 0.0000 0.1858
0.3333 0.6667 0.8525
0.6667 0.3333 0.5192
0.0000 0.0000 0.4234
0.3333 0.6667 0.0901
0.6667 0.3333 0.7567
0.0000 0.0000 0.5989
0.3333 0.6667 0.2656
0.6667 0.3333 0.9323
```

Values from the calculation:
The raw formation energy comes out at -1.172 eV/atom. Its symmetry is No. 160.

Here is crystalline Cu4HgF12 at its relaxed geometry from Alexandria via LeMat-Bulk. Energies are from PBE-GGA.

The structure in POSCAR format:
```
Cu4HgF12
1.0
-3.7716 3.8911 3.8999
3.7716 -3.8911 3.8999
3.7716 3.8911 -3.8999
Cu Hg F
4 1 12
Direct
0.0000 0.0000 0.5000
0.0000 0.5000 0.0000
0.5000 0.0000 0.0000
0.5000 0.5000 0.5000
0.0000 0.0000 0.0000
0.0025 0.7228 0.2797
0.2410 0.2099 0.4510
0.2410 0.7901 0.0311
0.2449 0.0369 0.7920
0.2449 0.4529 0.2080
0.4430 0.7228 0.7203
0.5570 0.2772 0.2797
0.7551 0.5471 0.7920
0.7551 0.9631 0.2080
0.7590 0.2099 0.9689
0.7590 0.7901 0.5490
0.9975 0.2772 0.7203
```

Values from the calculation:
The raw formation energy comes out at -1.440 eV/atom. Its symmetry is No. 71.

Here is crystalline NbSnOs3 at its relaxed geometry from Alexandria via LeMat-Bulk. Energies are from PBE-GGA.

The structure in POSCAR format:
```
NbSnOs3
1.0
4.7869 0.0000 0.0000
0.0000 4.7869 0.0000
0.0000 0.0000 4.7869
Nb Sn Os
1 1 3
Direct
0.0000 0.0000 0.0000
0.5000 0.5000 0.5000
0.0000 0.0000 0.5000
0.0000 0.5000 0.0000
0.5000 0.0000 0.0000
```

Values from the calculation:
The value obtained for the formation energy is 2.051 eV per atom. Its symmetry is No. 221.

| no. | electronic total energy (eV for the cell shown) |
| --- | --- |
| 1 | -35.87 |
| 2 | -50.29 |
| 3 | -72.34 |
| 4 | -70.41 |
| 5 | -35.35 |
| 6 | -29.90 |
| 7 | -104.60 |
| 8 | -36.83 |
| 9 | -82.63 |
| 10 | -77.81 |
| 11 | -63.62 |
| 12 | -37.51 |